KSb2Os | Alexandria | PBE | optimized geometry; SG = R3m; E_form (uncorrected) = 0.65 eV per atom; M_tot = 0.00 μB per cell; volume = 25.77 A^3/atom; density = 7.6 Mg/m³; relative energy among the computed polymorphs = 2.41 eV per formula unit
1.0
1.707 0.985 10.217
-1.707 0.985 10.217
0.000 -1.971 10.217
K Sb Os
1 2 1
Direct
0.000 0.000 0.000
0.234 0.234 0.234
0.479 0.479 0.479
0.757 0.757 0.757